# 1
VASP calculation (PBE) on a relaxed structure of LiLuNiAu.

* spin magnetization: 0.0 μB per cell
* formation energy: -0.43 eV/atom
* raw total energy: -4.306 eV/atom
* ρ: 10.40 g cm⁻³

Unit cell a=4.623 b=4.623 c=4.623 alpha=60.00 beta=60.00 gamma=60.00
Fractional positions:
1 Ni 0.250 0.250 0.250
2 Lu 0.000 0.000 0.000
3 Au 0.750 0.750 0.750
4 Li 0.500 0.500 0.500


# 2
VASP calculation (PBE) on a relaxed structure of PrGa3Tc.

* spin magnetization: 0.0 μB per cell
* formation energy: -0.42 eV/atom
* energy above the most stable polymorph in this dataset: 0 meV/atom
* raw total energy: -5.265 eV/atom
* ρ: 7.56 g cm⁻³

Unit cell a=5.647 b=6.345 c=6.345 alpha=120.00 beta=90.00 gamma=90.00
Fractional positions:
1 Pr 0.750 0.333 0.667
2 Pr 0.250 0.667 0.333
3 Ga 0.750 0.806 0.611
4 Ga 0.250 0.194 0.806
5 Ga 0.750 0.389 0.194
6 Ga 0.250 0.611 0.806
7 Ga 0.250 0.194 0.389
8 Ga 0.750 0.806 0.194
9 Tc 0.500 0.000 0.000
10 Tc 0.000 0.000 0.000


# 3
VASP calculation (PBE) on a relaxed structure of V5Ge5W.

* spin magnetization: 0.0 μB per cell
* formation energy: 0.21 eV/atom
* raw total energy: -7.208 eV/atom
* ρ: 7.53 g cm⁻³

Unit cell a=4.806 b=6.231 c=6.537 alpha=100.88 beta=90.00 gamma=112.68
Fractional positions:
1 V 0.640 0.280 0.357
2 V 0.587 0.173 0.691
3 V 0.000 0.000 0.500
4 V 0.413 0.827 0.309
5 V 0.360 0.720 0.643
6 Ge 0.820 0.640 0.174
7 Ge 0.811 0.622 0.707
8 Ge 0.500 0.000 0.000
9 Ge 0.189 0.378 0.293
10 Ge 0.180 0.360 0.826
11 W 0.000 0.000 0.000


# 4
VASP calculation (PBE) on a relaxed structure of KScMo.

* spin magnetization: 0.0 μB per cell
* formation energy: 0.86 eV/atom
* energy above the most stable polymorph in this dataset: 71 meV/atom
* raw total energy: -5.224 eV/atom
* ρ: 4.05 g cm⁻³

Unit cell a=3.116 b=3.116 c=8.780 alpha=90.00 beta=90.00 gamma=120.00
Fractional positions:
1 K 0.000 0.000 0.021
2 Mo 0.333 0.667 0.365
3 Sc 0.667 0.333 0.614


# 5
VASP calculation (PBE) on a relaxed structure of La2SiAs.

* spin magnetization: 0.0 μB per cell
* energy above the most stable polymorph in this dataset: 381 meV/atom
* uncorrected formation energy: -0.753 eV per atom
* raw total energy: -5.735 eV/atom
* ρ: 6.07 g cm⁻³

Unit cell a=5.282 b=5.282 c=5.282 alpha=60.00 beta=60.00 gamma=60.00
Fractional positions:
1 As 0.500 0.500 0.500
2 Si 0.000 0.000 0.000
3 La 0.250 0.250 0.250
4 La 0.750 0.750 0.750


# 6
VASP calculation (PBE) on a relaxed structure of Hf4Ga5Mo.

* spin magnetization: 0.0 μB per cell
* formation energy: -0.05 eV/atom
* raw total energy: -6.631 eV/atom
* ρ: 9.90 g cm⁻³

Unit cell a=5.373 b=6.586 c=6.586 alpha=80.42 beta=65.93 gamma=65.93
Fractional positions:
1 Hf 0.410 0.397 0.785
2 Hf 0.807 0.785 0.603
3 Hf 0.195 0.215 0.397
4 Hf 0.592 0.603 0.215
5 Ga 0.900 0.386 0.816
6 Ga 0.286 0.816 0.614
7 Ga 0.716 0.184 0.386
8 Ga 0.102 0.614 0.184
9 Ga 0.502 0.000 0.000
10 Mo 0.002 0.000 0.000


# 7
VASP calculation (PBE) on a relaxed structure of AlZnTc2.

* spin magnetization: 0.0 μB per cell
* formation energy: -0.13 eV/atom
* energy above the most stable polymorph in this dataset: 75 meV/atom
* raw total energy: -6.569 eV/atom
* ρ: 8.40 g cm⁻³

Unit cell a=4.351 b=4.351 c=4.308 alpha=120.48 beta=120.49 gamma=89.61
Fractional positions:
1 Zn 0.500 0.500 0.000
2 Tc 0.001 0.999 0.000
3 Tc 0.249 0.751 0.500
4 Al 0.750 0.250 0.500


# 8
VASP calculation (PBE) on a relaxed structure of NaPb2O2.

* spin magnetization: 0.0 μB per cell
* uncorrected formation energy: -0.923 eV per atom
* raw total energy: -4.653 eV/atom
* ρ: 7.73 g cm⁻³

Unit cell a=5.397 b=6.549 c=7.303 alpha=61.40 beta=68.32 gamma=65.67
Fractional positions:
1 Na 0.353 0.176 0.118
2 Na 0.647 0.824 0.882
3 Pb 0.667 0.294 0.372
4 Pb 0.333 0.706 0.628
5 Pb 0.009 0.738 0.244
6 Pb 0.991 0.262 0.756
7 O 0.142 0.322 0.394
8 O 0.858 0.678 0.606
9 O 0.497 0.279 0.727
10 O 0.503 0.721 0.273


# 9
VASP calculation (PBE) on a relaxed structure of NaAcIn3.

* spin magnetization: 0.0 μB per cell
* formation energy: -0.30 eV/atom
* raw total energy: -3.028 eV/atom
* ρ: 6.49 g cm⁻³

Unit cell a=5.085 b=3.854 c=15.646 alpha=97.07 beta=90.00 gamma=90.00
Fractional positions:
1 Na 0.250 0.783 0.567
2 Na 0.750 0.217 0.433
3 Ac 0.250 0.074 0.148
4 Ac 0.750 0.926 0.852
5 In 0.250 0.374 0.748
6 In 0.750 0.626 0.252
7 In 0.250 0.474 0.949
8 In 0.750 0.526 0.051
9 In 0.750 0.322 0.644
10 In 0.250 0.678 0.356


# 10
VASP calculation (PBE) on a relaxed structure of GaW.

* spin magnetization: 0.0 μB per cell
* formation energy: 0.66 eV/atom
* energy above the most stable polymorph in this dataset: 514 meV/atom
* raw total energy: -7.327 eV/atom
* ρ: 12.74 g cm⁻³

Unit cell a=2.744 b=4.617 c=5.216 alpha=90.00 beta=90.00 gamma=90.00
Fractional positions:
1 Ga 0.000 0.500 0.500
2 Ga 0.500 0.000 0.000
3 W 0.500 0.000 0.500
4 W 0.000 0.500 0.000


# 11
VASP calculation (PBE) on a relaxed structure of Zn2GaH.

* spin magnetization: 0.0 μB per cell
* energy above the most stable polymorph in this dataset: 180 meV/atom
* raw total energy: -1.771 eV/atom
* ρ: 5.92 g cm⁻³

Unit cell a=4.308 b=4.308 c=4.308 alpha=60.00 beta=60.00 gamma=60.00
Fractional positions:
1 H 0.000 0.000 0.000
2 Zn 0.250 0.250 0.250
3 Zn 0.750 0.750 0.750
4 Ga 0.500 0.500 0.500


# 12
VASP calculation (PBE) on a relaxed structure of Rb2GePdBr6.

* spin magnetization: 0.0 μB per cell
* uncorrected formation energy: -0.948 eV per atom
* raw total energy: -3.127 eV/atom
* ρ: 4.41 g cm⁻³

Unit cell a=7.617 b=7.617 c=7.616 alpha=60.00 beta=60.00 gamma=90.00
Fractional positions:
1 Ge 0.500 0.500 0.000
2 Br 0.247 0.247 0.506
3 Br 0.753 0.753 0.494
4 Br 0.248 0.248 0.000
5 Br 0.752 0.752 0.000
6 Br 0.752 0.248 0.000
7 Br 0.248 0.752 0.000
8 Rb 0.750 0.250 0.500
9 Rb 0.250 0.750 0.500
10 Pd 0.000 0.000 0.000


# 13
VASP calculation (PBE) on a relaxed structure of AcTl2SbS4.

* spin magnetization: 0.0 μB per cell
* uncorrected formation energy: -0.880 eV per atom
* raw total energy: -4.564 eV/atom
* ρ: 6.39 g cm⁻³

Unit cell a=8.670 b=8.670 c=8.888 alpha=120.84 beta=120.84 gamma=89.89
Fractional positions:
1 Ac 0.000 0.500 0.000
2 Ac 0.000 0.500 0.500
3 Tl 0.500 0.000 0.000
4 Tl 0.500 0.000 0.500
5 Tl 0.000 0.000 0.500
6 Tl 0.500 0.500 0.000
7 Sb 0.500 0.500 0.500
8 Sb 0.000 0.000 0.000
9 S 0.211 0.752 0.982
10 S 0.748 0.289 0.518
11 S 0.252 0.711 0.482
12 S 0.789 0.248 0.018
13 S 0.758 0.742 0.964
14 S 0.758 0.742 0.536
15 S 0.242 0.258 0.464
16 S 0.242 0.258 0.036